# 1
An optimized crystal structure of ErPtCl. Source: Alexandria, functional PBE.

abc: 21.245 3.963 7.687
angles: 90.00 93.70 90.00
Space group C2/m (No. 12)
One atom of each set of equivalent atoms:
Er  0.153  0.000  0.100 (multiplicity 4)
Er  0.158  0.000  0.615 (multiplicity 4)
Pt  0.245  0.500  0.123 (multiplicity 4)
Pt  0.250  0.000  0.374 (multiplicity 4)
Cl  0.070  0.000  0.346 (multiplicity 4)
Cl  0.090  0.500  0.852 (multiplicity 4)

For the energy relative to the elements, uncorrected, the calculation gives -1461 meV/atom. Its magnetic moment is 0.0 μB per formula unit. The value obtained for the density of states at the Fermi level is 7.31 states/eV/cell.

---

# 2
An optimized crystal structure of Cd3P. Source: Alexandria, functional PBE.

abc: 3.906 3.906 5.669
angles: 90.00 90.00 90.00
Space group P4/mmm (No. 123)
One atom of each set of equivalent atoms:
Cd  0.000  0.000  0.000 (multiplicity 1)
Cd  0.500  0.500  0.258 (multiplicity 2)
P  0.000  0.000  0.500 (multiplicity 1)

Its magnetic moment is 0.0 μB per formula unit. The calculation puts the formation enthalpy at 0 K at 0.85 eV per formula unit. The value obtained for the density of states at the Fermi level is 1.92 states/eV/cell.

---

# 3
An optimized crystal structure of Na2Li2RuO6. Source: Alexandria, functional PBE.

abc: 5.7820 5.7820 15.0198
angles: 90.00 90.00 120.00
Space group R-3m (No. 166, hexagonal axes)
One atom of each set of equivalent atoms:
Na  0.0000  0.0000  0.2058 (multiplicity 6)
Li  0.0000  0.0000  0.4134 (multiplicity 6)
Ru  0.0000  0.0000  0.0000 (multiplicity 3)
O  0.0312  0.5156  0.7406 (multiplicity 18)

For the energy relative to the elements, uncorrected, the calculation gives -1136 meV/atom. Its magnetic moment is 0.0 μB per formula unit. The value obtained for the density of states at the Fermi level is 6.32 states/eV/cell.

---

# 4
An optimized crystal structure of Pr3ErRh8. Source: Alexandria, functional PBE.

abc: 5.4065 5.4065 26.5191
angles: 90.00 90.00 120.00
Space group R3m (No. 160, hexagonal axes)
One atom of each set of equivalent atoms:
Pr  0.0000  0.0000  0.0000 (multiplicity 3)
Pr  0.0000  0.0000  0.1254 (multiplicity 3)
Pr  0.0000  0.0000  0.5012 (multiplicity 3)
Er  0.0000  0.0000  0.6261 (multiplicity 3)
Rh  0.0000  0.0000  0.3129 (multiplicity 3)
Rh  0.0000  0.0000  0.8132 (multiplicity 3)
Rh  0.0005  0.5003  0.5643 (multiplicity 9)
Rh  0.1673  0.3346  0.3952 (multiplicity 9)

Its magnetic moment is 0.0 μB per formula unit. The calculation puts the formation enthalpy at 0 K at -7.93 eV per formula unit. The value obtained for the density of states at the Fermi level is 20.00 states/eV/cell.